--- 1 ---
First-principles (GGA-PBE) data for a geometry-optimized SmNiRh2 structure, as listed in the Alexandria database.

a b c (Å): 8.8655 8.8655 8.8655
angles (deg): 34.89 34.89 34.89
With the nearest neighbours (Å) after each atom.
Fractional coordinates of all 12 atoms:
Sm (0.0000, 0.0000, 0.0000)  6 Ni 3.07, 12 Rh 3.34
Sm (0.1402, 0.1402, 0.1402)  9 Rh 3.04-3.18, 3 Ni 3.14, 3 Sm 3.34
Sm (0.8598, 0.8598, 0.8598)  9 Rh 3.04-3.18, 3 Ni 3.14, 3 Sm 3.34
Ni (0.3329, 0.3329, 0.3329)  6 Rh 2.54-2.55
Ni (0.5000, 0.5000, 0.5000)  6 Rh 2.62
Ni (0.6671, 0.6671, 0.6671)  6 Rh 2.54-2.55
Rh (0.0811, 0.5815, 0.5815)  3 Ni 2.54-2.62, 4 Rh 2.66
Rh (0.4185, 0.4185, 0.9189)  3 Ni 2.54-2.62, 4 Rh 2.66
Rh (0.4185, 0.9189, 0.4185)  3 Ni 2.54-2.62, 4 Rh 2.66
Rh (0.5815, 0.0811, 0.5815)  3 Ni 2.54-2.62, 4 Rh 2.66
Rh (0.5815, 0.5815, 0.0811)  3 Ni 2.54-2.62, 4 Rh 2.66
Rh (0.9189, 0.4185, 0.4185)  3 Ni 2.54-2.62, 4 Rh 2.66

=====

--- 2 ---
First-principles (GGA-PBE) data for a geometry-optimized SmNiRh2 structure, as listed in the Alexandria database.

a b c (Å): 4.0700 4.0700 3.9926
angles (deg): 90.00 90.00 90.00
With the nearest neighbours (Å) after each atom.
Fractional coordinates of all 4 atoms:
Sm (0.0000, 0.0000, 0.0000)  8 Rh 2.85, 4 Ni 2.88
Ni (0.5000, 0.5000, 0.0000)  8 Rh 2.85, 4 Sm 2.88
Rh (0.0000, 0.5000, 0.5000)  4 Ni 2.85, 4 Sm 2.85, 4 Rh 2.88
Rh (0.5000, 0.0000, 0.5000)  4 Ni 2.85, 4 Sm 2.85, 4 Rh 2.88

=====

How do the structures above rank in stability at the extremes? 1 comes first and 2 comes last.